DFT (PBE) results for LaCu2Tc after structural relaxation.

```
LaCu2Tc
1.0
-1.293 -3.858 1.359
2.851 -3.164 0.514
1.241 -0.910 5.333
Cu La Tc
2 1 1
direct
0.947 0.947 0.159 Cu
0.553 0.553 0.341 Cu
0.750 0.750 0.750 La
0.250 0.250 0.250 Tc
```

Output
The formation energy comes out at 145.5 meV/atom. As for the calculated total energy: -5.73 eV per atom. The magnetization is 0.00 μB/f.u. As for the space group: C2/m (12). The calculation puts the density of states at the Fermi level at 0.82 states/eV/atom.